(1)
## BaSrZr2 (PBE)

Data for an optimized crystal structure of BaSrZr2.

Calculated values
E_tot	-4.106	eV/atom
ΔE to the lowest computed polymorph	729.4	meV/atom

Unit cell a=9.167 b=9.167 c=6.364 alpha=90.00 beta=90.00 gamma=90.00
Space group I-42d (No. 122)
Symmetry-distinct sites (fractional):
Ba  0.000  0.000  0.000 [4 per cell]
Sr  0.000  0.000  0.500 [4 per cell]
Zr  0.242  0.750  0.125 [8 per cell]

(2)
## BaSr2Zr (PBE)

Data for an optimized crystal structure of BaSr2Zr.

Calculated values
E_tot	-2.938	eV/atom
ΔE to the lowest computed polymorph	104.7	meV/atom

Unit cell a=5.615 b=5.615 c=11.106 alpha=90.00 beta=90.00 gamma=90.00
Space group I-4m2 (No. 119)
Symmetry-distinct sites (fractional):
Ba  0.000  0.000  0.000 [2 per cell]
Sr  0.000  0.000  0.500 [2 per cell]
Sr  0.000  0.500  0.750 [2 per cell]
Zr  0.000  0.500  0.250 [2 per cell]

(3)
## BaSr2Zr (PBE)

Data for an optimized crystal structure of BaSr2Zr.

Calculated values
E_tot	-2.894	eV/atom
ΔE to the lowest computed polymorph	148.7	meV/atom

Unit cell a=4.197 b=6.312 c=6.388 alpha=90.00 beta=90.00 gamma=90.00
Space group Pmmm (No. 47)
Symmetry-distinct sites (fractional):
Ba  0.000  0.000  0.000 [1 per cell]
Sr  0.000  0.500  0.500 [1 per cell]
Sr  0.500  0.000  0.500 [1 per cell]
Zr  0.500  0.500  0.000 [1 per cell]

(4)
## BaSrZr2 (PBE)

Data for an optimized crystal structure of BaSrZr2.

Calculated values
E_tot	-4.802	eV/atom
ΔE to the lowest computed polymorph	33.0	meV/atom

Unit cell a=4.938 b=4.948 c=11.430 alpha=90.00 beta=90.00 gamma=90.00
Space group Cmm2 (No. 35)
Symmetry-distinct sites (fractional):
Ba  0.000  0.000  0.000 [2 per cell]
Sr  0.000  0.500  0.681 [2 per cell]
Zr  0.000  0.000  0.429 [2 per cell]
Zr  0.000  0.500  0.265 [2 per cell]

(5)
## Ba2SrZr (PBE)

Data for an optimized crystal structure of Ba2SrZr.

Calculated values
E_tot	-2.971	eV/atom
ΔE to the lowest computed polymorph	111.1	meV/atom

Unit cell a=5.721 b=5.721 c=11.106 alpha=90.00 beta=90.00 gamma=90.00
Space group I4/mmm (No. 139)
Symmetry-distinct sites (fractional):
Ba  0.000  0.500  0.250 [4 per cell]
Sr  0.000  0.000  0.000 [2 per cell]
Zr  0.000  0.000  0.500 [2 per cell]

(6)
## Ba2Sr2Zr (PBE)

Data for an optimized crystal structure of Ba2Sr2Zr.

Calculated values
E_tot	-2.341	eV/atom
ΔE to the lowest computed polymorph	225.1	meV/atom

Unit cell a=4.849 b=4.849 c=20.622 alpha=90.00 beta=90.00 gamma=90.00
Space group I4/mmm (No. 139)
Symmetry-distinct sites (fractional):
Ba  0.000  0.500  0.250 [4 per cell]
Sr  0.000  0.000  0.086 [4 per cell]
Zr  0.000  0.000  0.500 [2 per cell]

(7)
## BaSr3Zr (PBE)

Data for an optimized crystal structure of BaSr3Zr.

Calculated values
E_tot	-2.524	eV/atom
ΔE to the lowest computed polymorph	0.0	meV/atom

Unit cell a=6.286 b=6.286 c=6.286 alpha=90.00 beta=90.00 gamma=90.00
Space group Pm-3m (No. 221)
Symmetry-distinct sites (fractional):
Ba  0.000  0.000  0.000 [1 per cell]
Sr  0.000  0.500  0.500 [3 per cell]
Zr  0.500  0.500  0.500 [1 per cell]

(8)
## Ba2SrZr (PBE)

Data for an optimized crystal structure of Ba2SrZr.

Calculated values
E_tot	-3.005	eV/atom
ΔE to the lowest computed polymorph	76.7	meV/atom

Unit cell a=15.020 b=4.029 c=6.665 alpha=90.00 beta=115.45 gamma=90.00
Space group Cm (No. 8)
Symmetry-distinct sites (fractional):
Ba  0.000  0.000  0.000 [2 per cell]
Ba  0.214  0.000  0.705 [2 per cell]
Sr  0.429  0.000  0.430 [2 per cell]
Zr  0.217  0.500  0.207 [2 per cell]

(9)
## BaSrZr (PBE)

Data for an optimized crystal structure of BaSrZr.

Calculated values
E_tot	-3.562	eV/atom
ΔE to the lowest computed polymorph	118.4	meV/atom

Unit cell a=6.169 b=19.051 c=5.109 alpha=90.00 beta=90.00 gamma=90.00
Space group Cmc2_1 (No. 36)
Symmetry-distinct sites (fractional):
Ba  0.000  0.180  0.000 [4 per cell]
Sr  0.000  0.418  0.000 [4 per cell]
Zr  0.000  0.001  0.499 [4 per cell]

(10)
## BaSr2Zr (PBE)

Data for an optimized crystal structure of BaSr2Zr.

Calculated values
E_tot	-2.910	eV/atom
ΔE to the lowest computed polymorph	132.6	meV/atom

Unit cell a=7.824 b=11.461 c=3.838 alpha=90.00 beta=90.00 gamma=90.00
Space group Cmmm (No. 65)
Symmetry-distinct sites (fractional):
Ba  0.000  0.000  0.000 [2 per cell]
Sr  0.250  0.250  0.500 [4 per cell]
Zr  0.000  0.500  0.000 [2 per cell]

(11)
## BaSrZr2 (PBE)

Data for an optimized crystal structure of BaSrZr2.

Calculated values
E_tot	-4.447	eV/atom
ΔE to the lowest computed polymorph	388.5	meV/atom

Unit cell a=4.831 b=4.831 c=5.556 alpha=90.00 beta=90.00 gamma=90.00
Space group P4/mmm (No. 123)
Symmetry-distinct sites (fractional):
Ba  0.000  0.000  0.000 [1 per cell]
Sr  0.500  0.500  0.000 [1 per cell]
Zr  0.000  0.500  0.500 [2 per cell]

(12)
## BaSrZr2 (PBE)

Data for an optimized crystal structure of BaSrZr2.

Calculated values
E_tot	-4.252	eV/atom
ΔE to the lowest computed polymorph	583.4	meV/atom

Unit cell a=8.100 b=8.100 c=8.100 alpha=90.00 beta=90.00 gamma=90.00
Space group Fm-3m (No. 225)
Symmetry-distinct sites (fractional):
Ba  0.000  0.000  0.000 [4 per cell]
Sr  0.000  0.000  0.500 [4 per cell]
Zr  0.250  0.250  0.250 [8 per cell]

no.,energy of formation (eV/atom)
1,1.069
2,0.521
3,0.565
4,0.373
5,0.548
6,0.811
7,0.579
8,0.514
9,0.488
10,0.549
11,0.728
12,0.923